1.
A relaxed structure of Li2Mg2Si2PdPt, computed with PBE.

The structure belongs to space group P-4m2 (No. 115); the cell edges are 4.331, 4.331 and 6.115 Å and the angles 90.00°, 90.00° and 90.00°. The asymmetric unit holds Li at (0.000, 0.000, 0.000), Li at (0.500, 0.500, 0.500), Mg at (0.000, 0.500, 0.248), Si at (0.000, 0.500, 0.746), Pd at (0.500, 0.500, 0.000) and Pt at (0.000, 0.000, 0.500).

Its volume is 114.7 Å³ per cell. As for the raw total energy: -4.202 eV/atom. The crystal system is tetragonal.


2.
A relaxed structure of Li2Mg2Tl2PdPt, computed with PBE.

The structure belongs to space group P-4m2 (No. 115); the cell edges are 4.655, 4.655 and 6.559 Å and the angles 90.00°, 90.00° and 90.00°. The asymmetric unit holds Li at (0.000, 0.000, 0.000), Li at (0.500, 0.500, 0.500), Mg at (0.000, 0.500, 0.245), Tl at (0.000, 0.500, 0.746), Pd at (0.000, 0.000, 0.500) and Pt at (0.500, 0.500, 0.000).

Its volume is 142.1 Å³ per cell. As for the raw total energy: -3.291 eV/atom. The crystal system is tetragonal.


The records above give, respectively, M_tot values of 0.00 0.00 μB per cell.